LaSmTh2Sb4 GGA-PBE relaxed; uncorrected energy = -6.200 eV per atom; crystal system = monoclinic; uncorrected formation energy = -831.7 kJ/mol of formula units; space-group type = P2/m
1.0
4.529 0.000 0.000
0.000 7.837 -0.150
0.000 2.763 7.336
La Sm Th Sb
1 1 2 4
direct
0.000 0.500 0.500
0.500 0.500 0.000
0.000 0.000 0.000
0.500 0.000 0.500
0.000 0.751 0.753
0.000 0.249 0.247
0.500 0.753 0.246
0.500 0.247 0.754